Density functional theory data (PBE) for a relaxed structure of HgP4.

a b c (Å): 7.193 7.193 7.193
angles (deg): 145.30 145.30 49.89
Fractional positions:
Hg  0.000  0.000  0.000
P  0.250  0.750  0.500
P  0.316  0.316  0.000
P  0.684  0.684  0.000
P  0.750  0.250  0.500

Properties
Mass density: 4.5 g/cm³
Formation enthalpy at 0 K: 128 kJ/mol of formula units
Calculated volume: 24.011 A^3/atom
Total moment: 0.0 μB/f.u.
Crystal system: tetragonal
DOS at the Fermi energy: 1.8 states/eV/f.u.